# 1
# YTe2Au

YTe2Au at its PBEsol-relaxed geometry (meta-GGA SCAN, Alexandria via LeMat-Bulk).

Values from the calculation:
Volume ... 103 Å³ per cell
Total magnetization ... 0.000 μB/f.u.
E_form (uncorrected) ... -0.905 eV per atom
E_tot ... -43.780 eV per atom

Unit cell a=4.041 b=4.041 c=6.283 alpha=90.00 beta=90.00 gamma=90.00
Space group P4mm (No. 99)
One atom of each set of equivalent atoms:
Y: 0.000 0.000 0.000 x1
Te: 0.000 0.000 0.456 x1
Te: 0.500 0.500 0.852 x1
Au: 0.500 0.500 0.294 x1

=====

# 2
# YTe2Au

YTe2Au at its PBEsol-relaxed geometry (meta-GGA SCAN, Alexandria via LeMat-Bulk).

Values from the calculation:
Volume ... 227 Å³ per cell
Total magnetization ... 0.000 μB/f.u.
E_form (uncorrected) ... -0.988 eV per atom
E_tot ... -43.863 eV per atom

Unit cell a=3.955 b=4.004 c=14.333 alpha=90.00 beta=90.00 gamma=90.00
Space group Imm2 (No. 44)
One atom of each set of equivalent atoms:
Y: 0.000 0.000 0.000 x2
Te: 0.000 0.000 0.585 x2
Te: 0.000 0.500 0.328 x2
Au: 0.000 0.500 0.834 x2

=====

# 3
# YTeAu2

YTeAu2 at its PBEsol-relaxed geometry (meta-GGA SCAN, Alexandria via LeMat-Bulk).

Values from the calculation:
Volume ... 171 Å³ per cell
Total magnetization ... 0.000 μB/f.u.
E_form (uncorrected) ... -0.716 eV per atom
E_tot ... -51.568 eV per atom

Unit cell a=10.071 b=4.334 c=4.338 alpha=90.00 beta=115.44 gamma=90.00
Space group C2/m (No. 12)
One atom of each set of equivalent atoms:
Y: 0.000 0.000 0.000 x2
Te: 0.000 0.500 0.500 x2
Au: 0.250 0.000 0.750 x4